No. 1
The following is a DFT calculation (PBE-GGA) of a relaxed LiHPt2Au crystal.

a = 3.928 Å, b = 3.928 Å, c = 4.163 Å
α = 90.00°, β = 90.00°, γ = 90.00°
Space group P4/mmm (No. 123)
Unique sites:
1 Li 0.000 0.000 0.000 x1
2 H 0.000 0.000 0.500 x1
3 Pt 0.000 0.500 0.500 x2
4 Au 0.500 0.500 0.000 x1

Output
The calculation puts the density of states at the Fermi level at 0.62 states/eV per atom. The total magnetization is 0.00 μB/atom. The total energy comes out at -4.438 eV per atom.

---

No. 2
The following is a DFT calculation (PBE-GGA) of a relaxed K2TaMn crystal.

a = 4.044 Å, b = 4.044 Å, c = 6.203 Å
α = 90.00°, β = 90.00°, γ = 90.00°
Space group P4/mmm (No. 123)
Unique sites:
1 K 0.000 0.500 0.000 x2
2 Ta 0.000 0.000 0.500 x1
3 Mn 0.500 0.500 0.500 x1

Output
The calculation puts the density of states at the Fermi level at 0.84 states/eV per atom. The value obtained for the formation enthalpy at 0 K is 1.39 eV/atom. The total magnetization is 0.37 μB/atom.